# 1
Entry from Alexandria: an optimized crystal structure of GePHCl2 (PBE).

The space group is P4/mmm (No. 123) and the conventional cell measures 5.068, 5.068 and 3.314 Å, with angles of 90.00, 90.00 and 90.00 degrees. The distinct sites, in fractional coordinates, are Ge at (0.000, 0.000, 0.000), P at (0.500, 0.500, 0.000), H at (0.500, 0.500, 0.500) and Cl at (0.000, 0.500, 0.500).

Its density of states at the Fermi level is 0.61 states/eV/atom. The value obtained for the relative energy among the computed polymorphs is 0 meV/atom.



# 2
Entry from Alexandria: an optimized crystal structure of Zn3GeO3 (PBE).

The space group is Pm-3n (No. 223) and the conventional cell measures 5.774, 5.774 and 5.774 Å, with angles of 90.00, 90.00 and 90.00 degrees. The distinct sites, in fractional coordinates, are Zn at (0.000, 0.250, 0.500), Ge at (0.000, 0.000, 0.000) and O at (0.000, 0.500, 0.250).

For the uncorrected formation energy, the calculation gives -0.753 eV per atom. Its density of states at the Fermi level is 0.23 states/eV/atom.



# 3
Entry from Alexandria: an optimized crystal structure of TcSb2Se (PBE).

The space group is Imm2 (No. 44) and the conventional cell measures 3.192, 4.537 and 12.863 Å, with angles of 90.00, 90.00 and 90.00 degrees. The distinct sites, in fractional coordinates, are Tc at (0.000, 0.000, 0.000), Sb at (0.000, 0.000, 0.544), Sb at (0.000, 0.500, 0.702) and Se at (0.000, 0.500, 0.351).

For the uncorrected formation energy, the calculation gives 0.140 eV per atom. Its density of states at the Fermi level is 0.57 states/eV/atom.



# 4
Entry from Alexandria: an optimized crystal structure of Tm2ZrSe (PBE).

The space group is R3m (No. 160, hexagonal axes) and the conventional cell measures 3.6211, 3.6211 and 27.0337 Å, with angles of 90.00, 90.00 and 120.00 degrees. The distinct sites, in fractional coordinates, are Tm at (0.0000, 0.0000, 0.0000), Tm at (0.0000, 0.0000, 0.1899), Zr at (0.0000, 0.0000, 0.4275) and Se at (0.0000, 0.0000, 0.5948).

For the uncorrected formation energy, the calculation gives -0.716 eV per atom. Its density of states at the Fermi level is 0.78 states/eV/atom. The value obtained for the relative energy among the computed polymorphs is 0 meV/atom.



Record order is preserved below.
Raw total energy: -14.95; -57.17; -43.07; -71.51 eV per cell